Record 1
This record from Alexandria via LeMat-Bulk describes a relaxed Rb2Se3S8 crystal. The functional is PBE. Values from VASP.

Results
- formation energy (no corrections) (kcal/mol of atoms) = -3.0
- total magnetic moment (μB per formula unit) = 0.00
- SG = C2/m
- calculated volume (Å³/atom) = 30.683
- crystal system = monoclinic
- density of states at the Fermi level (states/eV per cell) = 7.34
- DFT total energy (eV/atom) = -3.62

```
&SYSTEM
  ibrav = 0, nat = 13, ntyp = 3
/
ATOMIC_SPECIES
Rb 85.47 Rb.upf
Se 78.96 Se.upf
S 32.06 S.upf
CELL_PARAMETERS angstrom
10.3135 -0.9410 1.3036
1.5436 5.8228 2.3629
0.4667 -0.3156 6.4449
ATOMIC_POSITIONS angstrom
Rb 3.9043 1.4745 3.2453
Rb 8.4196 3.0916 6.8661
Se 1.2836 4.3388 3.3499
Se 6.7004 5.3522 3.0148
Se 11.0403 0.2272 6.7616
S 5.1962 1.6185 6.2889
S 0.8586 0.7257 1.3173
S 11.4653 3.8403 8.7941
S 6.7338 0.7017 5.3160
S 5.5901 3.8644 4.7955
S 10.2363 0.8751 4.0132
S 7.1277 2.9475 3.8225
S 2.0876 3.6910 6.0983
```

Record 2
This record from Alexandria via LeMat-Bulk describes a relaxed Rb12Se3S5 crystal. The functional is PBE. Values from VASP.

Results
- formation energy (no corrections) (kcal/mol of atoms) = -16.9
- total magnetic moment (μB per formula unit) = 4.28
- SG = Ia-3d
- calculated volume (Å³/atom) = 47.744
- crystal system = cubic
- density of states at the Fermi level (states/eV per cell) = 164.63
- DFT total energy (eV/atom) = -2.87

```
&SYSTEM
  ibrav = 0, nat = 80, ntyp = 3
/
ATOMIC_SPECIES
Rb 85.47 Rb.upf
S 32.06 S.upf
Se 78.96 Se.upf
CELL_PARAMETERS angstrom
17.0560 0.0000 0.0000
-5.6853 16.0806 0.0000
-5.6853 -8.0403 13.9262
ATOMIC_POSITIONS angstrom
Rb 6.3585 7.0261 10.8930
Rb 11.2582 1.6793 0.6383
Rb -2.9551 3.7333 8.7365
Rb -0.6199 10.0783 1.2597
Rb 10.1901 -5.5618 12.1528
Rb 7.3474 12.3570 3.9300
Rb -5.5729 6.3610 13.2879
Rb 2.9551 -2.6278 8.0982
Rb 11.4831 -3.7332 8.7365
Rb -3.5158 9.0545 10.8930
Rb 6.8659 -1.2451 8.2228
Rb 8.6404 4.3070 5.1897
Rb 9.2011 -1.0142 3.0331
Rb 5.0122 -1.9005 4.5682
Rb 7.8549 8.9265 7.6013
Rb 10.6975 0.8863 6.3248
Rb -1.6621 5.5618 12.1528
Rb -2.1695 -0.8863 6.3248
Rb 3.4625 6.0022 1.2597
Rb 8.6404 14.4013 0.6383
Rb -0.6199 5.9303 1.1352
Rb 0.1124 5.4125 5.8279
Rb 3.5158 1.9005 4.5682
Rb -1.6621 -4.3167 9.9962
Rb -1.1806 9.2854 5.7034
Rb -5.7977 11.7735 5.1897
Rb -2.2228 -0.0719 11.5313
Rb 3.4625 10.1503 1.1352
Rb -2.9551 -6.3610 13.2879
Rb -6.8659 4.3167 9.9962
Rb 7.3474 2.4785 1.7734
Rb 0.6731 9.9407 9.3580
Rb 1.6621 1.2451 8.2228
Rb -5.0122 7.1540 7.6013
Rb 11.9905 7.9684 2.3949
Rb 2.2228 2.0381 12.6664
Rb 6.3052 -2.0381 12.6664
Rb 6.3052 2.1100 12.7910
Rb 5.5729 2.6278 8.0982
Rb 4.0232 6.7952 5.7034
Rb -6.3052 0.0719 11.5313
Rb 2.7303 10.6681 5.8279
Rb 7.9081 8.1122 2.3949
Rb -0.6731 1.0142 3.0331
Rb -4.5048 13.6021 1.7734
Rb 12.5512 3.7236 3.9300
Rb 2.2228 -2.1100 12.7910
Rb 2.1695 6.1398 9.3580
S 1.4213 5.0252 12.1854
S -2.8427 -4.0201 6.9631
S -1.4213 1.0050 8.7039
S 5.6853 -4.0201 6.9631
S 7.1067 4.0201 10.4446
S -4.2640 9.0453 5.2223
S 7.1067 -5.0252 12.1854
S -2.8427 8.0403 0.0000
S 8.5280 0.0000 0.0000
S -5.6853 4.0201 6.9631
S 0.0000 0.0000 0.0000
S 1.4213 -4.0201 10.4446
S 5.6853 8.0403 0.0000
S -1.4213 4.0201 3.4815
S 7.1067 7.0352 5.2223
S -1.4213 13.0654 1.7408
S 2.8427 4.0201 6.9631
S 9.9493 -1.0050 8.7039
S 4.2640 3.0151 1.7408
S 4.2640 12.0604 3.4815
Se 4.2640 0.0000 10.4446
Se -7.1067 8.0403 10.4446
Se 1.4213 -1.0050 5.2223
Se 9.9493 11.0554 1.7408
Se -4.2640 3.0151 12.1854
Se 12.7920 0.0000 3.4815
Se 1.4213 8.0403 3.4815
Se -4.2640 -3.0151 12.1854
Se 4.2640 9.0453 8.7039
Se 9.9493 5.0252 1.7408
Se 7.1067 1.0050 5.2223
Se -1.4213 7.0352 8.7039
```

Record 3
This record from Alexandria via LeMat-Bulk describes a relaxed Rb2SeS6 crystal. The functional is PBE. Values from VASP.

Results
- formation energy (no corrections) (kcal/mol of atoms) = -8.3
- total magnetic moment (μB per formula unit) = 0.00
- SG = P-1
- calculated volume (Å³/atom) = 35.578
- crystal system = triclinic
- density of states at the Fermi level (states/eV per cell) = 1.38
- DFT total energy (eV/atom) = -3.72

```
&SYSTEM
  ibrav = 0, nat = 9, ntyp = 3
/
ATOMIC_SPECIES
S 32.06 S.upf
Rb 85.47 Rb.upf
Se 78.96 Se.upf
CELL_PARAMETERS angstrom
5.3653 2.3037 -0.5040
2.7373 8.7716 -5.6326
-0.3220 -1.0502 8.5321
ATOMIC_POSITIONS angstrom
S 1.9833 5.4576 1.9766
S 5.7973 4.5676 0.4190
S 2.2272 2.9926 3.5838
S 5.5534 7.0325 -1.1882
S 5.7914 4.6591 2.4550
S 1.9892 5.3661 -0.0595
Rb 1.8425 0.9869 6.4145
Rb 5.9381 9.0383 -4.0189
Se 0.0000 0.0000 0.0000
```

Record 4
This record from Alexandria via LeMat-Bulk describes a relaxed Rb2SeS crystal. The functional is PBE. Values from VASP.

Results
- formation energy (no corrections) (kcal/mol of atoms) = -20.3
- total magnetic moment (μB per formula unit) = 0.00
- SG = Cmcm
- calculated volume (Å³/atom) = 36.688
- crystal system = orthorhombic
- polymorph energy (0 for the lowest one) (meV per atom) = 0.0
- DFT total energy (eV/atom) = -3.27

```
&SYSTEM
  ibrav = 0, nat = 8, ntyp = 3
/
ATOMIC_SPECIES
Se 78.96 Se.upf
S 32.06 S.upf
Rb 85.47 Rb.upf
CELL_PARAMETERS angstrom
-2.1748 -1.6854 -3.8727
-2.0526 -4.0590 5.8329
-6.7717 5.4688 1.4227
ATOMIC_POSITIONS angstrom
Se -9.1609 -1.4162 2.8470
Se -1.8381 1.1405 0.5359
S -8.1315 0.1908 1.5696
S -2.8675 -0.4665 1.8133
Rb -1.9038 -2.0702 -0.9437
Rb -5.2499 0.6321 -0.2407
Rb -5.7491 -0.9078 3.6235
Rb -9.0952 1.7945 4.3265
```

Record 5
This record from Alexandria via LeMat-Bulk describes a relaxed Rb2SeS crystal. The functional is PBE. Values from VASP.

Results
- formation energy (no corrections) (kcal/mol of atoms) = -19.9
- total magnetic moment (μB per formula unit) = 0.00
- SG = Pnma
- calculated volume (Å³/atom) = 40.245
- crystal system = orthorhombic
- polymorph energy (0 for the lowest one) (meV per atom) = 16.4
- DFT total energy (eV/atom) = -3.25

```
&SYSTEM
  ibrav = 0, nat = 16, ntyp = 3
/
ATOMIC_SPECIES
Rb 85.47 Rb.upf
Se 78.96 Se.upf
S 32.06 S.upf
CELL_PARAMETERS angstrom
6.5145 0.0000 0.0000
0.0000 8.5882 0.0000
0.0000 0.0000 11.5093
ATOMIC_POSITIONS angstrom
Rb 1.6286 3.8741 4.0811
Rb 4.8859 0.4201 9.8357
Rb 4.8859 4.7142 7.4282
Rb 4.8859 7.6841 4.5450
Rb 4.8859 3.3900 1.2096
Rb 1.6286 8.1682 1.6736
Rb 1.6286 0.9042 6.9643
Rb 1.6286 5.1983 10.2997
Se 4.8859 2.5328 4.7201
Se 1.6286 6.0554 6.7892
Se 1.6286 1.7613 10.4748
Se 4.8859 6.8270 1.0345
S 4.8859 5.8382 10.4830
S 1.6286 2.7501 1.0262
S 1.6286 7.0442 4.7284
S 4.8859 1.5441 6.7809
```

Record 6
This record from Alexandria via LeMat-Bulk describes a relaxed Rb3Se3S crystal. The functional is PBE. Values from VASP.

Results
- formation energy (no corrections) (kcal/mol of atoms) = -14.5
- total magnetic moment (μB per formula unit) = 0.89
- SG = R3m
- calculated volume (Å³/atom) = 39.092
- crystal system = trigonal
- density of states at the Fermi level (states/eV per cell) = 2.28
- DFT total energy (eV/atom) = -3.12

```
&SYSTEM
  ibrav = 0, nat = 7, ntyp = 3
/
ATOMIC_SPECIES
Rb 85.47 Rb.upf
Se 78.96 Se.upf
S 32.06 S.upf
CELL_PARAMETERS angstrom
6.7510 0.1478 -2.4309
-3.2494 5.5300 -2.3131
-0.0868 0.1478 7.1748
ATOMIC_POSITIONS angstrom
Rb 0.5989 5.5557 -3.6624
Rb 1.5194 2.4764 1.0816
Rb -3.2645 5.5557 1.7648
Se -0.5176 4.9386 -0.3684
Se -1.7648 3.0035 3.4570
Se 2.6887 3.0035 -2.7993
S -2.2599 3.8460 -1.6087
```

Record 7
This record from Alexandria via LeMat-Bulk describes a relaxed RbSe4S2 crystal. The functional is PBE. Values from VASP.

Results
- formation energy (no corrections) (kcal/mol of atoms) = -5.0
- total magnetic moment (μB per formula unit) = 0.00
- SG = P1
- calculated volume (Å³/atom) = 32.836
- crystal system = triclinic
- density of states at the Fermi level (states/eV per cell) = 1.92
- DFT total energy (eV/atom) = -3.52

```
&SYSTEM
  ibrav = 0, nat = 7, ntyp = 3
/
ATOMIC_SPECIES
S 32.06 S.upf
Se 78.96 Se.upf
Rb 85.47 Rb.upf
CELL_PARAMETERS angstrom
-3.1644 1.7842 4.4057
3.0498 -0.4967 6.9637
2.4556 5.9008 3.9659
ATOMIC_POSITIONS angstrom
S 2.5324 3.1859 6.2453
S -0.1482 4.2754 8.9164
Se 1.8203 6.5175 10.7910
Se -0.3472 4.4308 5.1533
Se 3.2183 3.0871 10.1061
Se 2.2797 5.6636 8.8079
Rb 0.0084 1.5927 11.3209
```

Record 8
This record from Alexandria via LeMat-Bulk describes a relaxed Rb2SeS crystal. The functional is PBE. Values from VASP.

Results
- formation energy (no corrections) (kcal/mol of atoms) = -11.3
- total magnetic moment (μB per formula unit) = 2.00
- SG = Fm-3m
- calculated volume (Å³/atom) = 34.248
- crystal system = cubic
- polymorph energy (0 for the lowest one) (meV per atom) = 388.3
- density of states at the Fermi level (states/eV per cell) = 2.91
- DFT total energy (eV/atom) = -2.88

```
&SYSTEM
  ibrav = 0, nat = 4, ntyp = 3
/
ATOMIC_SPECIES
Rb 85.47 Rb.upf
Se 78.96 Se.upf
S 32.06 S.upf
CELL_PARAMETERS angstrom
-2.9431 -4.7451 1.5179
-5.5339 -0.6012 -1.5801
-1.4553 -3.9085 -4.0109
ATOMIC_POSITIONS angstrom
Rb -7.4492 -6.9411 -3.0548
Rb -2.4831 -2.3137 -1.0183
Se -4.9661 -4.6274 -2.0366
S 0.0000 0.0000 0.0000
```

Record 9
This record from Alexandria via LeMat-Bulk describes a relaxed Rb3SeS4 crystal. The functional is PBE. Values from VASP.

Results
- formation energy (no corrections) (kcal/mol of atoms) = -15.8
- total magnetic moment (μB per formula unit) = 0.00
- SG = Cm
- calculated volume (Å³/atom) = 34.832
- crystal system = monoclinic
- polymorph energy (0 for the lowest one) (meV per atom) = 0.0
- density of states at the Fermi level (states/eV per cell) = 5.15
- DFT total energy (eV/atom) = -3.55

```
&SYSTEM
  ibrav = 0, nat = 8, ntyp = 3
/
ATOMIC_SPECIES
S 32.06 S.upf
Se 78.96 Se.upf
Rb 85.47 Rb.upf
CELL_PARAMETERS angstrom
-3.6585 0.5643 -2.9108
2.9626 -1.3346 -3.9822
-0.2248 -11.7033 1.8229
ATOMIC_POSITIONS angstrom
S -0.8729 -7.6162 -0.3794
S -0.0996 -2.8404 -4.2346
S -0.0317 -4.8465 -4.7089
S -0.8269 -9.6293 -0.8274
Se 1.1240 -1.0493 -5.4252
Rb -1.1917 -7.9660 -3.8557
Rb 0.2825 -4.5265 -1.2326
Rb 1.4689 -0.6663 -1.9754
```

Record 10
This record from Alexandria via LeMat-Bulk describes a relaxed RbSe2S6 crystal. The functional is PBE. Values from VASP.

Results
- formation energy (no corrections) (kcal/mol of atoms) = -1.5
- total magnetic moment (μB per formula unit) = 1.03
- SG = C2/m
- calculated volume (Å³/atom) = 33.208
- crystal system = monoclinic
- density of states at the Fermi level (states/eV per cell) = 2.94
- DFT total energy (eV/atom) = -3.70

```
&SYSTEM
  ibrav = 0, nat = 9, ntyp = 3
/
ATOMIC_SPECIES
S 32.06 S.upf
Rb 85.47 Rb.upf
Se 78.96 Se.upf
CELL_PARAMETERS angstrom
15.2799 0.0000 0.0000
-7.6399 3.9888 1.2166
0.0000 1.9184 5.4889
ATOMIC_POSITIONS angstrom
S -3.5525 3.3206 4.3339
S 11.1925 2.5867 2.3717
S 10.0188 0.9592 2.7444
S 4.0874 2.5867 2.3717
S 5.2612 0.9592 2.7444
S 3.5526 3.3206 4.3339
Rb 0.0000 0.0000 0.0000
Se 0.0000 3.0460 1.8625
Se 7.6399 2.8612 4.8430
```